(1)
First-principles (PBE) data for a relaxed structure of MgSc2Al, as listed in the Alexandria database.

The value obtained for the formation energy is -0.4 eV/f.u. The total magnetic moment is 0.000 μB/cell. The value obtained for the calculated total energy is -4.61 eV/atom. Its offset from the most stable computed form is 0.176 eV/atom.

The space group is R-3m (No. 166, hexagonal axes) and the conventional cell measures 3.2406, 3.2406 and 29.4789 Å, with angles of 90.00, 90.00 and 120.00 degrees. The asymmetric unit holds Mg at (0.0000, 0.0000, 0.0000), Sc at (0.0000, 0.0000, 0.2437) and Al at (0.0000, 0.0000, 0.5000).

***

(2)
First-principles (PBE) data for a relaxed structure of LaPIr2, as listed in the Alexandria database.

The value obtained for the formation energy is -0.7 eV/f.u. The total magnetic moment is 0.000 μB/cell. The value obtained for the calculated total energy is -7.19 eV/atom.

The space group is P4/mmm (No. 123) and the conventional cell measures 4.2109, 4.2109 and 4.1069 Å, with angles of 90.00, 90.00 and 90.00 degrees. The asymmetric unit holds La at (0.0000, 0.0000, 0.0000), P at (0.5000, 0.5000, 0.0000) and Ir at (0.0000, 0.5000, 0.5000).

***

(3)
First-principles (PBE) data for a relaxed structure of SrAc4Tm, as listed in the Alexandria database.

The value obtained for the formation energy is 1.8 eV/f.u. The total magnetic moment is 0.003 μB/cell. The value obtained for the calculated total energy is -3.46 eV/atom. Its offset from the most stable computed form is 0.250 eV/atom.

The space group is F-43m (No. 216) and the conventional cell measures 10.3553, 10.3553 and 10.3553 Å, with angles of 90.00, 90.00 and 90.00 degrees. The asymmetric unit holds Sr at (0.0000, 0.0000, 0.0000), Ac at (0.1231, 0.1231, 0.3769) and Tm at (0.2500, 0.2500, 0.7500).